This record from OQMD describes TbYAg2S4 after structural relaxation. The functional is GGA-PBE.

calculated total energy = -5.491 eV per atom
crystal system = orthorhombic

a = 6.5539 Å, b = 6.5539 Å, c = 4.1336 Å
α = 90.00°, β = 90.00°, γ = 90.01°
Last column: nearest neighbours and their distance in Å.
Fractional coordinates of all 8 atoms:
Y1 0.5000 0.5000 0.2253  6 S 2.76-2.80
Ag1 0.5000 0.0000 0.0000  4 S 2.61
Ag2 0.0000 0.5000 0.0000  4 S 2.61
S1 0.7993 0.7993 0.2683  2 Ag 2.61, 2 Tb 2.76-2.80, 1 Y 2.78
S2 0.2996 0.7004 0.7317  2 Ag 2.61, 2 Y 2.76-2.80, 1 Tb 2.78
S3 0.7004 0.2996 0.7317  2 Ag 2.61, 2 Y 2.76-2.80, 1 Tb 2.78
S4 0.2007 0.2007 0.2683  2 Ag 2.61, 2 Tb 2.76-2.80, 1 Y 2.78
Tb1 0.0000 0.0000 0.7749  6 S 2.76-2.80

---

This record from OQMD describes SmAsN2O after structural relaxation. The functional is GGA-PBE.

calculated total energy = -6.849 eV per atom
crystal system = hexagonal

a = 5.4072 Å, b = 5.4072 Å, c = 13.4791 Å
α = 90.00°, β = 90.00°, γ = 120.00°
Last column: nearest neighbours and their distance in Å.
Fractional coordinates of all 30 atoms:
N1 0.6725 0.8363 0.4158  2 As 1.82-1.91
N2 0.8363 0.1637 0.9158  2 As 1.82-1.91
N3 0.6725 0.8363 0.0842  2 As 1.82-1.91
N4 0.1637 0.8363 0.4158  2 As 1.82-1.91
N5 0.1637 0.3275 0.0842  2 As 1.82-1.91
N6 0.1637 0.3275 0.4158  2 As 1.82-1.91
N7 0.3275 0.1637 0.9158  2 As 1.82-1.91
N8 0.8363 0.1637 0.5842  2 As 1.82-1.91
N9 0.3275 0.1637 0.5842  2 As 1.82-1.91
N10 0.8363 0.6725 0.5842  2 As 1.82-1.91
N11 0.1637 0.8363 0.0842  2 As 1.82-1.91
N12 0.8363 0.6725 0.9158  2 As 1.82-1.91
Sm1 0.6667 0.3333 0.0767  9 N 2.69-2.71, 3 O 2.87
Sm2 0.3333 0.6667 0.9233  9 N 2.69-2.71, 3 O 2.87
Sm3 0.3333 0.6667 0.5767  9 N 2.69-2.71, 3 O 2.87
Sm4 0.0000 0.0000 0.2500  6 O 2.71, 6 N 2.71
Sm5 0.6667 0.3333 0.4233  9 N 2.69-2.71, 3 O 2.87
Sm6 0.0000 0.0000 0.7500  6 O 2.71, 6 N 2.71
O1 0.5110 0.0221 0.7500  2 As 1.99
O2 0.0221 0.5110 0.2500  2 As 1.99
O3 0.4890 0.9779 0.2500  2 As 1.99
O4 0.9779 0.4890 0.7500  2 As 1.99
O5 0.5110 0.4890 0.7500  2 As 1.99
O6 0.4890 0.5110 0.2500  2 As 1.99
As1 0.0000 0.0000 0.5000  6 N 1.91
As2 0.6667 0.3333 0.8502  3 N 1.82, 3 O 1.99
As3 0.6667 0.3333 0.6498  3 N 1.82, 3 O 1.99
As4 0.3333 0.6667 0.1498  3 N 1.82, 3 O 1.99
As5 0.0000 0.0000 0.0000  6 N 1.91
As6 0.3333 0.6667 0.3502  3 N 1.82, 3 O 1.99

---

This record from OQMD describes ErNiMo after structural relaxation. The functional is GGA-PBE.

E above lowest polymorph = 748 meV per atom
formation energy from the elements = 347 kJ/mol of formula units
crystal system = cubic

a = 4.4706 Å, b = 4.4706 Å, c = 4.4706 Å
α = 60.00°, β = 60.00°, γ = 60.00°
Last column: nearest neighbours and their distance in Å.
Fractional coordinates of all 3 atoms:
Mo1 0.2500 0.2500 0.2500  4 Er 2.74
Ni1 0.7500 0.7500 0.7500  4 Er 2.74
Er1 0.0000 0.0000 0.0000  4 Ni 2.74, 4 Mo 2.74

---

This record from OQMD describes LiLaCd after structural relaxation. The functional is GGA-PBE.

E above lowest polymorph = 0 meV per atom
crystal system = cubic

a = 5.0484 Å, b = 5.0484 Å, c = 5.0484 Å
α = 60.00°, β = 60.00°, γ = 60.00°
Last column: nearest neighbours and their distance in Å.
Fractional coordinates of all 3 atoms:
Cd1 0.0000 0.0000 0.0000  4 Li 3.09, 4 La 3.09
Li1 0.7500 0.7500 0.7500  4 Cd 3.09
La1 0.2500 0.2500 0.2500  4 Cd 3.09

---

no.,theoretical density (Mg/m³)
1,5.5
2,7.9
3,8.5
4,4.7